1.
A relaxed CsLa6S8 crystal. Source: Alexandria, functional PBE.

Its magnetic moment is 0.607 μB per formula unit. The total energy is -92.8 eV per cell. The value obtained for the formation energy from raw total energies is -1.957 eV/atom. The value obtained for the density of states at the Fermi level is 0.65 states/eV/atom.

Cell lengths 11.3159, 11.3159, 4.2236 Å; angles 90.00, 90.00, 120.00 degrees
Last column: nearest neighbours and their distance in Å.
Sites, in units of the cell vectors:
Cs (0.0000, 0.0000, 0.0000)  6 S 4.05, 2 Cs 4.22
La (0.1416, 0.6665, 0.7472)  6 S 2.86-3.03
La (0.3335, 0.4751, 0.7472)  6 S 2.86-3.03
La (0.4751, 0.1416, 0.2528)  6 S 2.86-3.03
La (0.5249, 0.8584, 0.7472)  6 S 2.86-3.03
La (0.6665, 0.5249, 0.2528)  6 S 2.86-3.03
La (0.8584, 0.3335, 0.2528)  6 S 2.86-3.03
S (0.0448, 0.3660, 0.7537)  4 La 2.86-3.01
S (0.3212, 0.9552, 0.7537)  4 La 2.86-3.01
S (0.3333, 0.6667, 0.2470)  6 La 3.03
S (0.3660, 0.3212, 0.2463)  4 La 2.86-3.01
S (0.6340, 0.6788, 0.7537)  4 La 2.86-3.01
S (0.6667, 0.3333, 0.7530)  6 La 3.03
S (0.6788, 0.0448, 0.2463)  4 La 2.86-3.01
S (0.9552, 0.6340, 0.2463)  4 La 2.86-3.01

---

2.
A relaxed CsLa2S2 crystal. Source: Alexandria, functional PBE.

Its magnetic moment is 0.000 μB per formula unit. The total energy is -25.5 eV per cell. The value obtained for the formation energy from raw total energies is -1.313 eV/atom. The value obtained for the density of states at the Fermi level is 1.39 states/eV/atom.

Cell lengths 7.4571, 7.4571, 7.4571 Å; angles 137.38, 137.38, 61.86 degrees
Last column: nearest neighbours and their distance in Å.
Sites, in units of the cell vectors:
Cs (0.0000, 0.0000, 0.0000)  10 La 4.12-4.46, 8 S 4.19
La (0.3217, 0.3217, 0.0000)  4 S 2.86
La (0.6783, 0.6783, 0.0000)  4 S 2.86
S (0.2500, 0.7500, 0.5000)  4 La 2.86
S (0.7500, 0.2500, 0.5000)  4 La 2.86

---

3.
A relaxed Cs5LaS4 crystal. Source: Alexandria, functional PBE.

Its magnetic moment is 0.000 μB per formula unit. The total energy is -38.2 eV per cell. The value obtained for the formation energy from raw total energies is -1.254 eV/atom.

Cell lengths 10.7624, 10.7624, 9.1933 Å; angles 107.42, 107.42, 25.12 degrees
Last column: nearest neighbours and their distance in Å.
Sites, in units of the cell vectors:
Cs (0.0000, 0.0000, 0.0000)  4 S 3.53
Cs (0.3326, 0.3326, 0.6254)  3 S 3.29-3.35
Cs (0.3385, 0.3385, 0.1415)  3 S 3.22-3.26
Cs (0.6615, 0.6615, 0.8585)  3 S 3.22-3.26
Cs (0.6674, 0.6674, 0.3746)  3 S 3.29-3.35
La (0.0000, 0.0000, 0.5000)  6 S 2.96-3.05
S (0.1479, 0.1479, 0.6096)  1 La 2.96, 4 Cs 3.22-3.29
S (0.4993, 0.4993, 0.7117)  2 La 3.05, 2 Cs 3.26-3.35
S (0.5007, 0.5007, 0.2883)  2 La 3.05, 2 Cs 3.26-3.35
S (0.8521, 0.8521, 0.3904)  1 La 2.96, 4 Cs 3.22-3.29

---

4.
A relaxed CsLa2S4 crystal. Source: Alexandria, functional PBE.

Its magnetic moment is 0.000 μB per formula unit. The total energy is -77.6 eV per cell. The value obtained for the formation energy from raw total energies is -1.653 eV/atom. The value obtained for the density of states at the Fermi level is 0.44 states/eV/atom.

Cell lengths 7.9194, 7.9194, 7.9194 Å; angles 110.66, 110.66, 107.13 degrees
Last column: nearest neighbours and their distance in Å.
Sites, in units of the cell vectors:
Cs (0.0000, 0.0000, 0.0000)  8 S 3.32-3.47
Cs (0.7500, 0.2500, 0.5000)  8 S 3.32-3.47
La (0.2511, 0.1250, 0.6261)  6 S 2.91-3.09
La (0.3750, 0.7489, 0.8739)  6 S 2.91-3.09
La (0.4989, 0.6250, 0.3739)  6 S 2.91-3.09
La (0.8750, 0.5011, 0.1261)  6 S 2.91-3.09
S (0.1671, 0.4267, 0.4367)  3 La 2.91-3.09, 2 S 3.04-3.17
S (0.1767, 0.4171, 0.9367)  3 La 2.91-3.09, 2 S 3.04-3.17
S (0.2696, 0.8329, 0.2596)  3 La 2.91-3.09, 2 S 3.04-3.17
S (0.4804, 0.2400, 0.0633)  3 La 2.91-3.09, 2 S 3.04-3.17
S (0.5733, 0.0100, 0.7404)  3 La 2.91-3.09, 2 S 3.04-3.17
S (0.5829, 0.5196, 0.7596)  3 La 2.91-3.09, 2 S 3.04-3.17
S (0.7600, 0.8233, 0.2404)  3 La 2.91-3.09, 2 S 3.04-3.17
S (0.9900, 0.7304, 0.5633)  3 La 2.91-3.09, 2 S 3.04-3.17

---

5.
A relaxed CsLa3S crystal. Source: Alexandria, functional PBE.

Its magnetic moment is 0.046 μB per formula unit. The total energy is -21.8 eV per cell. The value obtained for the formation energy from raw total energies is -0.403 eV/atom. The value obtained for the density of states at the Fermi level is 2.00 states/eV/atom. The energy above the lowest structure with this stoichiometry is 0.000 eV per atom.

Cell lengths 5.7567, 5.7567, 5.7567 Å; angles 90.00, 90.00, 90.00 degrees
Last column: nearest neighbours and their distance in Å.
Sites, in units of the cell vectors:
Cs (0.0000, 0.0000, 0.0000)  12 La 4.07
La (0.0000, 0.5000, 0.5000)  2 S 2.88
La (0.5000, 0.0000, 0.5000)  2 S 2.88
La (0.5000, 0.5000, 0.0000)  2 S 2.88
S (0.5000, 0.5000, 0.5000)  6 La 2.88

---

6.
A relaxed CsLa2Sb2S6 crystal. Source: Alexandria, functional PBE.

Its magnetic moment is 0.000 μB per formula unit. The total energy is -56.1 eV per cell. The value obtained for the formation energy from raw total energies is -1.124 eV/atom. The value obtained for the density of states at the Fermi level is 0.39 states/eV/atom.

Cell lengths 7.8131, 8.0100, 8.5789 Å; angles 89.87, 63.67, 61.02 degrees
Last column: nearest neighbours and their distance in Å.
Sites, in units of the cell vectors:
Cs (0.0000, 0.0000, 0.0000)  6 S 3.52-3.77
La (0.3616, 0.3120, 0.9675)  6 S 2.82-2.94
La (0.6384, 0.6880, 0.0325)  6 S 2.82-2.94
Sb (0.0025, 0.6735, 0.4419)  3 S 2.52-2.78
Sb (0.9975, 0.3265, 0.5581)  3 S 2.52-2.78
S (0.0982, 0.3512, 0.7952)  1 Sb 2.52
S (0.2632, 0.0813, 0.2079)  1 Sb 2.78, 2 La 2.82-2.87
S (0.4248, 0.4776, 0.2281)  1 Sb 2.52
S (0.5752, 0.5224, 0.7719)  1 Sb 2.52
S (0.7368, 0.9187, 0.7921)  1 Sb 2.78, 2 La 2.82-2.87
S (0.9018, 0.6488, 0.2048)  1 Sb 2.52

---

7.
A relaxed Cs2LaSb2S6 crystal. Source: Alexandria, functional PBE.

Its magnetic moment is 0.000 μB per formula unit. The total energy is -49.6 eV per cell. The value obtained for the formation energy from raw total energies is -0.909 eV/atom. The value obtained for the density of states at the Fermi level is 0.40 states/eV/atom.

Cell lengths 7.4561, 7.4561, 9.0730 Å; angles 113.67, 113.67, 61.24 degrees
Last column: nearest neighbours and their distance in Å.
Sites, in units of the cell vectors:
Cs (0.2033, 0.2033, 0.1789)  7 S 3.53-3.91
Cs (0.7967, 0.7967, 0.8211)  7 S 3.53-3.91
La (0.0000, 0.0000, 0.5000)  6 S 2.83-2.92
Sb (0.4465, 0.4465, 0.8008)  3 S 2.41
Sb (0.5535, 0.5535, 0.1992)  3 S 2.41
S (0.1978, 0.7088, 0.2282)  1 Sb 2.41
S (0.2431, 0.2431, 0.5912)  1 Sb 2.41
S (0.2912, 0.8022, 0.7718)  1 Sb 2.41
S (0.7088, 0.1978, 0.2282)  1 Sb 2.41
S (0.7569, 0.7569, 0.4088)  1 Sb 2.41
S (0.8022, 0.2912, 0.7718)  1 Sb 2.41

---

8.
A relaxed Cs3La2ScS6 crystal. Source: Alexandria, functional PBE.

Its magnetic moment is 0.000 μB per formula unit. The total energy is -65.1 eV per cell. The value obtained for the formation energy from raw total energies is -1.798 eV/atom. The value obtained for the density of states at the Fermi level is 0.00 states/eV/atom.

Cell lengths 7.2779, 7.2779, 8.4039 Å; angles 98.31, 98.31, 119.98 degrees
Last column: nearest neighbours and their distance in Å.
Sites, in units of the cell vectors:
Cs (0.0000, 0.0000, 0.0000)  6 S 3.48-3.64
Cs (0.3314, 0.6686, 0.0000)  6 S 3.48-3.64
Cs (0.6686, 0.3314, 0.0000)  6 S 3.48-3.64
La (0.1665, 0.8335, 0.5000)  6 S 2.91
La (0.8335, 0.1665, 0.5000)  6 S 2.91
Sc (0.5000, 0.5000, 0.5000)  6 S 2.68-2.69
S (0.1298, 0.4395, 0.3190)  1 Sc 2.68, 2 La 2.91
S (0.2509, 0.2509, 0.6825)  1 Sc 2.69, 2 La 2.91
S (0.4395, 0.1298, 0.3190)  1 Sc 2.68, 2 La 2.91
S (0.5605, 0.8702, 0.6810)  1 Sc 2.68, 2 La 2.91
S (0.7491, 0.7491, 0.3175)  1 Sc 2.69, 2 La 2.91
S (0.8702, 0.5605, 0.6810)  1 Sc 2.68, 2 La 2.91

---

9.
A relaxed Cs2LaScS4 crystal. Source: Alexandria, functional PBE.

Its magnetic moment is 0.000 μB per formula unit. The total energy is -85.4 eV per cell. The value obtained for the formation energy from raw total energies is -1.656 eV/atom.

Cell lengths 8.7364, 8.7364, 8.7364 Å; angles 121.67, 118.18, 90.16 degrees
Last column: nearest neighbours and their distance in Å.
Sites, in units of the cell vectors:
Cs (0.0000, 0.0000, 0.0000)  6 S 3.31-3.33
Cs (0.5000, 0.0000, 0.0000)  6 S 3.49-3.50
Cs (0.5000, 0.0000, 0.5000)  6 S 3.31-3.33
Cs (0.5000, 0.5000, 0.5000)  6 S 3.49-3.50
La (0.0000, 0.5000, 0.5000)  6 S 2.93-2.95
La (0.5000, 0.5000, 0.0000)  6 S 2.93-2.95
Sc (0.0000, 0.0000, 0.5000)  6 S 2.69-2.75
Sc (0.0000, 0.5000, 0.0000)  6 S 2.69-2.75
S (0.1780, 0.7352, 0.4427)  2 Sc 2.75, 1 La 2.95
S (0.2075, 0.2648, 0.9427)  2 Sc 2.75, 1 La 2.95
S (0.2171, 0.2519, 0.5349)  1 Sc 2.69, 2 La 2.93
S (0.2171, 0.6822, 0.9651)  1 Sc 2.69, 2 La 2.93
S (0.7829, 0.3178, 0.0349)  1 Sc 2.69, 2 La 2.93
S (0.7829, 0.7481, 0.4651)  1 Sc 2.69, 2 La 2.93
S (0.7925, 0.7352, 0.0573)  2 Sc 2.75, 1 La 2.95
S (0.8220, 0.2648, 0.5573)  2 Sc 2.75, 1 La 2.95

---

10.
A relaxed Cs4La3ScS8 crystal. Source: Alexandria, functional PBE.

Its magnetic moment is 0.000 μB per formula unit. The total energy is -86.5 eV per cell. The value obtained for the formation energy from raw total energies is -1.811 eV/atom. The value obtained for the density of states at the Fermi level is 0.00 states/eV/atom.

Cell lengths 9.4294, 9.4294, 9.4294 Å; angles 53.47, 53.47, 53.47 degrees
Last column: nearest neighbours and their distance in Å.
Sites, in units of the cell vectors:
Cs (0.0000, 0.0000, 0.0000)  6 S 3.66
Cs (0.0000, 0.5000, 0.5000)  6 S 3.50
Cs (0.5000, 0.0000, 0.5000)  6 S 3.50
Cs (0.5000, 0.5000, 0.0000)  6 S 3.50
La (0.0000, 0.0000, 0.5000)  6 S 2.89-2.92
La (0.0000, 0.5000, 0.0000)  6 S 2.89-2.92
La (0.5000, 0.0000, 0.0000)  6 S 2.89-2.92
Sc (0.5000, 0.5000, 0.5000)  6 S 2.71
S (0.2299, 0.2299, 0.2299)  3 La 2.89
S (0.2480, 0.7162, 0.7162)  1 Sc 2.71, 2 La 2.92
S (0.2838, 0.2838, 0.7520)  1 Sc 2.71, 2 La 2.92
S (0.2838, 0.7520, 0.2838)  1 Sc 2.71, 2 La 2.92
S (0.7162, 0.2480, 0.7162)  1 Sc 2.71, 2 La 2.92
S (0.7162, 0.7162, 0.2480)  1 Sc 2.71, 2 La 2.92
S (0.7520, 0.2838, 0.2838)  1 Sc 2.71, 2 La 2.92
S (0.7701, 0.7701, 0.7701)  3 La 2.89

---

11.
A relaxed CsLaSeS crystal. Source: Alexandria, functional PBE.

Its magnetic moment is 0.000 μB per formula unit. The total energy is -20.7 eV per cell. The value obtained for the formation energy from raw total energies is -1.826 eV/atom. The value obtained for the density of states at the Fermi level is 0.00 states/eV/atom.

Cell lengths 8.7333, 8.7333, 8.7333 Å; angles 29.18, 29.18, 29.18 degrees
Last column: nearest neighbours and their distance in Å.
Sites, in units of the cell vectors:
Cs (0.0000, 0.0000, 0.0000)  3 Se 3.60, 3 S 3.69
La (0.1645, 0.1645, 0.1645)  3 S 2.93, 3 Se 3.05
Se (0.5652, 0.5652, 0.5652)  3 La 3.05
S (0.7732, 0.7732, 0.7732)  3 La 2.93

---

12.
A relaxed CsLaSiS4 crystal. Source: Alexandria, functional PBE.

Its magnetic moment is 0.000 μB per formula unit. The total energy is -76.5 eV per cell. The value obtained for the formation energy from raw total energies is -1.507 eV/atom. The value obtained for the density of states at the Fermi level is 0.00 states/eV/atom.

Cell lengths 6.6422, 6.7571, 9.5815 Å; angles 90.00, 107.82, 90.00 degrees
Last column: nearest neighbours and their distance in Å.
Sites, in units of the cell vectors:
Cs (0.2250, 0.2500, 0.4346)  8 S 3.60-3.77
Cs (0.7750, 0.7500, 0.5654)  8 S 3.60-3.77
La (0.2663, 0.2500, 0.9529)  6 S 2.91-2.99
La (0.7337, 0.7500, 0.0471)  6 S 2.91-2.99
Si (0.2900, 0.7500, 0.1692)  4 S 2.12-2.14
Si (0.7100, 0.2500, 0.8308)  4 S 2.12-2.14
S (0.0982, 0.7500, 0.3093)  1 Si 2.12
S (0.1038, 0.7500, 0.9434)  1 Si 2.14
S (0.5000, 0.0015, 0.7955)  1 Si 2.14
S (0.5000, 0.4985, 0.7955)  1 Si 2.14
S (0.5000, 0.5015, 0.2045)  1 Si 2.14
S (0.5000, 0.9985, 0.2045)  1 Si 2.14
S (0.8962, 0.2500, 0.0566)  1 Si 2.14
S (0.9018, 0.2500, 0.6907)  1 Si 2.12